Record 1
Computed, not measured: a relaxed structure of KPAu3 at the PBE level of DFT.

## Properties
V in Å³/f.u.: 178
Total magnetization in μB/f.u.: 1.08
ΔE to the lowest computed polymorph in meV/atom: 1820
DOS at the Fermi energy in states/eV per cell: 2.36

a b c (Å): 5.6267 5.6267 5.6267
angles (deg): 90.00 90.00 90.00
With the nearest neighbours (Å) after each atom.
Element x y z (fractional)
K 0.0000 0.0000 0.0000  6 Au 2.81
P 0.5000 0.5000 0.5000  12 Au 3.98
Au 0.0000 0.0000 0.5000  2 K 2.81
Au 0.0000 0.5000 0.0000  2 K 2.81
Au 0.5000 0.0000 0.0000  2 K 2.81


Record 2
Computed, not measured: a relaxed structure of KP4Au at the PBE level of DFT.

## Properties
V in Å³/f.u.: 159
Total magnetization in μB/f.u.: 0.00
DOS at the Fermi energy in states/eV per cell: 0.00

a b c (Å): 6.0785 6.0785 6.0785
angles (deg): 60.00 60.00 60.00
With the nearest neighbours (Å) after each atom.
Element x y z (fractional)
K 0.0000 0.0000 0.0000  12 P 3.69, 4 Au 3.72
P 0.2280 0.5907 0.5907  3 P 2.20
P 0.5907 0.2280 0.5907  3 P 2.20
P 0.5907 0.5907 0.2280  3 P 2.20
P 0.5907 0.5907 0.5907  3 P 2.20
Au 0.2500 0.2500 0.2500  12 P 3.51, 4 K 3.72


Record 3
Computed, not measured: a relaxed structure of KPAu at the PBE level of DFT.

## Properties
V in Å³/f.u.: 84
Total magnetization in μB/f.u.: 0.00
DOS at the Fermi energy in states/eV per cell: 2.43

a b c (Å): 8.1338 8.1338 4.9767
angles (deg): 99.10 99.10 31.11
With the nearest neighbours (Å) after each atom.
Element x y z (fractional)
K 0.1192 0.1192 0.4195  6 Au 3.42-3.81, 6 P 3.44-3.60
K 0.8808 0.8808 0.5805  6 Au 3.42-3.81, 6 P 3.44-3.60
P 0.4590 0.4590 0.1414  1 P 2.06
P 0.5410 0.5410 0.8586  1 P 2.06
Au 0.3055 0.3055 0.0167  1 P 2.38
Au 0.6945 0.6945 0.9833  1 P 2.38


Record 4
Computed, not measured: a relaxed structure of KPAu2 at the PBE level of DFT.

## Properties
V in Å³/f.u.: 84
Total magnetization in μB/f.u.: 0.00
DOS at the Fermi energy in states/eV per cell: 1.05

a b c (Å): 5.6767 5.6767 2.7886
angles (deg): 90.00 90.00 110.25
With the nearest neighbours (Å) after each atom.
Element x y z (fractional)
K 0.0000 0.0000 0.0000  2 K 2.79
P 0.5000 0.5000 0.0000  2 P 2.79
Au 0.0000 0.5000 0.5000  2 Au 2.79
Au 0.5000 0.0000 0.5000  2 Au 2.79


Record 5
Computed, not measured: a relaxed structure of K2P2Au at the PBE level of DFT.

## Properties
V in Å³/f.u.: 117
Total magnetization in μB/f.u.: 0.00
DOS at the Fermi energy in states/eV per cell: 3.77

a b c (Å): 6.6289 6.6289 5.3287
angles (deg): 90.00 90.00 90.00
With the nearest neighbours (Å) after each atom.
Element x y z (fractional)
K 0.1757 0.3243 0.0000  6 P 3.27-3.33, 5 K 3.29-3.46, 4 Au 3.62
K 0.3243 0.8243 0.0000  6 P 3.27-3.33, 5 K 3.29-3.46, 4 Au 3.62
K 0.6757 0.1757 0.0000  6 P 3.27-3.33, 5 K 3.29-3.46, 4 Au 3.62
K 0.8243 0.6757 0.0000  6 P 3.27-3.33, 5 K 3.29-3.46, 4 Au 3.62
P 0.1212 0.6212 0.5000  1 P 2.27
P 0.3788 0.1212 0.5000  1 P 2.27
P 0.6212 0.8788 0.5000  1 P 2.27
P 0.8788 0.3788 0.5000  1 P 2.27
Au 0.0000 0.0000 0.5000  4 P 2.64
Au 0.5000 0.5000 0.5000  4 P 2.64


Record 6
Computed, not measured: a relaxed structure of K4P3Au at the PBE level of DFT.

## Properties
V in Å³/f.u.: 323
Total magnetization in μB/f.u.: 0.00
DOS at the Fermi energy in states/eV per cell: 10.55

a b c (Å): 8.0101 11.9880 6.7311
angles (deg): 90.00 90.00 90.00
With the nearest neighbours (Å) after each atom.
Element x y z (fractional)
K 0.0083 0.2500 0.0312  2 P 3.03-3.17
K 0.2500 0.5147 0.5106  3 P 3.17-3.31, 1 Au 3.24
K 0.2500 0.9853 0.5106  3 P 3.17-3.31, 1 Au 3.24
K 0.4917 0.2500 0.0312  2 P 3.03-3.17
K 0.5083 0.7500 0.9688  2 P 3.03-3.17
K 0.7500 0.0147 0.4894  3 P 3.17-3.31, 1 Au 3.24
K 0.7500 0.4853 0.4894  3 P 3.17-3.31, 1 Au 3.24
K 0.9917 0.7500 0.9688  2 P 3.03-3.17
P 0.0334 0.7500 0.5007  1 P 2.21, 1 Au 2.38
P 0.2500 0.7500 0.2968  2 P 2.21
P 0.4666 0.7500 0.5007  1 P 2.21, 1 Au 2.38
P 0.5334 0.2500 0.4993  1 P 2.21, 1 Au 2.38
P 0.7500 0.2500 0.7032  2 P 2.21
P 0.9666 0.2500 0.4993  1 P 2.21, 1 Au 2.38
Au 0.2500 0.2500 0.6043  2 P 2.38
Au 0.7500 0.7500 0.3957  2 P 2.38


Record 7
Computed, not measured: a relaxed structure of KPAu2 at the PBE level of DFT.

## Properties
V in Å³/f.u.: 91
Total magnetization in μB/f.u.: 0.00
DOS at the Fermi energy in states/eV per cell: 1.67

a b c (Å): 2.9807 3.9830 7.6446
angles (deg): 90.00 90.00 90.00
With the nearest neighbours (Å) after each atom.
Element x y z (fractional)
K 0.0000 0.0000 0.0000  2 K 2.98
P 0.5000 0.5000 0.3371  5 Au 2.61-2.73
Au 0.0000 0.0000 0.4411  4 P 2.61
Au 0.5000 0.5000 0.6943  1 P 2.73, 2 Au 2.98


Record 8
Computed, not measured: a relaxed structure of KPAu2 at the PBE level of DFT.

## Properties
V in Å³/f.u.: 84
Total magnetization in μB/f.u.: 0.00
DOS at the Fermi energy in states/eV per cell: 1.41

a b c (Å): 5.1639 5.1639 5.1639
angles (deg): 127.39 127.39 77.62
With the nearest neighbours (Å) after each atom.
Element x y z (fractional)
K 0.0000 0.0000 0.0000  8 Au 3.05, 4 P 3.24
P 0.5000 0.5000 0.0000  8 Au 3.05, 4 K 3.24
Au 0.2500 0.7500 0.5000  4 K 3.05, 4 P 3.05, 4 Au 3.24
Au 0.7500 0.2500 0.5000  4 K 3.05, 4 P 3.05, 4 Au 3.24


Record 9
Computed, not measured: a relaxed structure of KPAu2 at the PBE level of DFT.

## Properties
V in Å³/f.u.: 104
Total magnetization in μB/f.u.: 0.00
DOS at the Fermi energy in states/eV per cell: 1.62

a b c (Å): 6.4207 6.4207 6.4207
angles (deg): 41.18 41.18 41.18
With the nearest neighbours (Å) after each atom.
Element x y z (fractional)
K 0.0000 0.0000 0.0000  8 Au 3.46-3.55
P 0.5000 0.5000 0.5000  6 Au 2.66
Au 0.1965 0.1965 0.1965  3 P 2.66, 3 Au 2.81
Au 0.8035 0.8035 0.8035  3 P 2.66, 3 Au 2.81


Record 10
Computed, not measured: a relaxed structure of KPAu2 at the PBE level of DFT.

## Properties
V in Å³/f.u.: 89
Total magnetization in μB/f.u.: 0.00
DOS at the Fermi energy in states/eV per cell: 1.38

a b c (Å): 2.9214 4.3057 7.2423
angles (deg): 90.00 101.43 90.00
With the nearest neighbours (Å) after each atom.
Element x y z (fractional)
K 0.0000 0.0000 0.0000  2 K 2.92
P 0.6499 0.5000 0.3012  2 Au 2.45
Au 0.3323 0.5000 0.6691  6 Au 2.92-2.98, 2 P 2.99
Au 0.7316 0.0000 0.4661  2 P 2.45


Record 11
Computed, not measured: a relaxed structure of KPAu2 at the PBE level of DFT.

## Properties
V in Å³/f.u.: 90
Total magnetization in μB/f.u.: 0.00
DOS at the Fermi energy in states/eV per cell: 1.49

a b c (Å): 6.1938 6.1938 6.1938
angles (deg): 151.52 127.12 61.15
With the nearest neighbours (Å) after each atom.
Element x y z (fractional)
K 0.0000 0.0000 0.0000  2 K 3.05, 4 P 3.15
P 0.5000 0.5000 0.0000  4 Au 2.57
Au 0.3062 0.8062 0.5000  2 P 2.57
Au 0.6938 0.1938 0.5000  2 P 2.57


Record 12
Computed, not measured: a relaxed structure of KPAu3 at the PBE level of DFT.

## Properties
V in Å³/f.u.: 124
Total magnetization in μB/f.u.: 0.00
ΔE to the lowest computed polymorph in meV/atom: 0
DOS at the Fermi energy in states/eV per cell: 4.18

a b c (Å): 9.0689 9.0689 6.6469
angles (deg): 109.52 109.52 28.98
With the nearest neighbours (Å) after each atom.
Element x y z (fractional)
K 0.0710 0.0710 0.3338  8 Au 3.39-3.69, 2 P 3.57
K 0.9290 0.9290 0.6662  8 Au 3.39-3.69, 2 P 3.57
P 0.3814 0.3814 0.2249  4 Au 2.41-2.49
P 0.6186 0.6186 0.7751  4 Au 2.41-2.49
Au 0.1345 0.1345 0.9067  2 P 2.41
Au 0.2812 0.2812 0.4035  1 P 2.44
Au 0.2971 0.2971 0.8363  1 P 2.49, 1 Au 2.79
Au 0.7029 0.7029 0.1637  1 P 2.49, 1 Au 2.79
Au 0.7188 0.7188 0.5965  1 P 2.44
Au 0.8655 0.8655 0.0933  2 P 2.41


Record 13
Computed, not measured: a relaxed structure of K2P2Au at the PBE level of DFT.

## Properties
V in Å³/f.u.: 173
Total magnetization in μB/f.u.: 1.00
DOS at the Fermi energy in states/eV per cell: 3.61

a b c (Å): 6.2992 6.2992 6.2992
angles (deg): 121.26 121.26 87.83
With the nearest neighbours (Å) after each atom.
Element x y z (fractional)
K 0.2500 0.7500 0.5000  4 P 3.34
K 0.7500 0.2500 0.5000  4 P 3.34
P 0.1091 0.1091 0.0000  1 P 1.98
P 0.8909 0.8909 0.0000  1 P 1.98
Au 0.5000 0.5000 0.0000  2 P 3.55, 8 K 3.83


no.,calculated formation energy (kJ/mol of formula units)
1,788
2,15
3,-74
4,116
5,-120
6,-223
7,33
8,132
9,-35
10,5
11,41
12,-90
13,12